DFT (GGA+U) results for a geometry-optimized Co3O5F structure.

a b c (Å): 2.9231 4.4367 13.3008
angles (deg): 90.00 90.00 90.00
Space group Pmn2_1 (No. 31)
Symmetry-distinct sites (fractional):
Co  0.0000  0.2039  0.0000 (multiplicity 2)
Co  0.0000  0.2079  0.6852 (multiplicity 2)
Co  0.0000  0.2945  0.3448 (multiplicity 2)
O  0.0000  0.5138  0.9073 (multiplicity 2)
O  0.0000  0.5859  0.2440 (multiplicity 2)
O  0.0000  0.8970  0.7809 (multiplicity 2)
O  0.0000  0.9431  0.1089 (multiplicity 2)
O  0.0000  0.9917  0.4413 (multiplicity 2)
F  0.0000  0.5774  0.5707 (multiplicity 2)

Values from the calculation:
**Total DFT energy (no corrections)**: -5.54 eV/atom
**Polymorph energy (0 for the lowest one)**: 0.0 meV/atom
**D(E_F)**: 1.49 states/eV/cell

DFT (GGA+U) results for a geometry-optimized Co2OF3 structure.

a b c (Å): 6.0746 13.1689 6.9618
angles (deg): 90.00 90.00 90.00
Space group Cmmm (No. 65)
Symmetry-distinct sites (fractional):
Co  0.0000  0.0000  0.0000 (multiplicity 2)
Co  0.0000  0.2440  0.5000 (multiplicity 4)
Co  0.0000  0.5000  0.0000 (multiplicity 2)
Co  0.2295  0.0000  0.5000 (multiplicity 4)
Co  0.2500  0.2500  0.0000 (multiplicity 4)
O  0.0000  0.0978  0.5000 (multiplicity 4)
O  0.0000  0.3397  0.0000 (multiplicity 4)
F  0.0000  0.1411  0.0000 (multiplicity 4)
F  0.0000  0.4048  0.5000 (multiplicity 4)
F  0.2282  0.0000  0.1845 (multiplicity 8)
F  0.2500  0.2500  0.3063 (multiplicity 8)

Values from the calculation:
**Total DFT energy (no corrections)**: -5.09 eV/atom
**Polymorph energy (0 for the lowest one)**: 101.1 meV/atom
**D(E_F)**: 6.15 states/eV/cell

DFT (GGA+U) results for a geometry-optimized Co6O5F7 structure.

a b c (Å): 4.6810 5.5814 7.6577
angles (deg): 84.09 87.29 86.63
Space group P1 (No. 1)
Symmetry-distinct sites (fractional):
Co  0.0000  0.0000  0.0000 (multiplicity 1)
Co  0.0023  0.6917  0.3205 (multiplicity 1)
Co  0.0502  0.3373  0.6534 (multiplicity 1)
Co  0.5363  0.1735  0.3268 (multiplicity 1)
Co  0.5415  0.8424  0.6478 (multiplicity 1)
Co  0.5984  0.5037  0.9791 (multiplicity 1)
O  0.3550  0.1283  0.5491 (multiplicity 1)
O  0.7238  0.2218  0.1028 (multiplicity 1)
O  0.7297  0.8836  0.4224 (multiplicity 1)
O  0.7315  0.5577  0.7477 (multiplicity 1)
O  0.8516  0.7232  0.0844 (multiplicity 1)
F  0.2257  0.2814  0.8976 (multiplicity 1)
F  0.2335  0.6414  0.5417 (multiplicity 1)
F  0.2329  0.9776  0.2184 (multiplicity 1)
F  0.3340  0.4815  0.2251 (multiplicity 1)
F  0.3385  0.8019  0.8833 (multiplicity 1)
F  0.8305  0.0460  0.7644 (multiplicity 1)
F  0.8419  0.3826  0.4189 (multiplicity 1)

Values from the calculation:
**Total DFT energy (no corrections)**: -5.27 eV/atom
**Polymorph energy (0 for the lowest one)**: 0.0 meV/atom

DFT (GGA+U) results for a geometry-optimized Co6OF11 structure.

a b c (Å): 3.1688 20.2426 6.6560
angles (deg): 90.00 90.00 90.00
Space group Amm2 (No. 38)
Symmetry-distinct sites (fractional):
Co  0.0000  0.0000  0.9996 (multiplicity 2)
Co  0.0000  0.1661  0.5000 (multiplicity 4)
Co  0.5000  0.0000  0.5318 (multiplicity 2)
Co  0.5000  0.1668  0.0008 (multiplicity 4)
O  0.0000  0.0000  0.6974 (multiplicity 2)
F  0.0000  0.0000  0.3162 (multiplicity 2)
F  0.0000  0.1658  0.8039 (multiplicity 4)
F  0.0000  0.1679  0.1968 (multiplicity 4)
F  0.5000  0.0656  0.0083 (multiplicity 4)
F  0.5000  0.1005  0.4974 (multiplicity 4)
F  0.5000  0.2319  0.5009 (multiplicity 4)

Values from the calculation:
**Total DFT energy (no corrections)**: -5.10 eV/atom
**Polymorph energy (0 for the lowest one)**: 12.1 meV/atom
**D(E_F)**: 18.38 states/eV/cell

DFT (GGA+U) results for a geometry-optimized Co2OF structure.

a b c (Å): 5.4433 5.4433 5.4433
angles (deg): 90.00 90.00 90.00
Space group Fm-3m (No. 225)
Symmetry-distinct sites (fractional):
Co  0.2500  0.2500  0.2500 (multiplicity 8)
O  0.0000  0.0000  0.0000 (multiplicity 4)
F  0.0000  0.0000  0.5000 (multiplicity 4)

Values from the calculation:
**Total DFT energy (no corrections)**: -4.82 eV/atom
**Polymorph energy (0 for the lowest one)**: 370.7 meV/atom
**D(E_F)**: 9.63 states/eV/cell

DFT (GGA+U) results for a geometry-optimized Co6OF11 structure.

a b c (Å): 9.1825 6.7613 7.4533
angles (deg): 90.00 111.32 90.00
Space group Cm (No. 8)
Symmetry-distinct sites (fractional):
Co  0.0000  0.0000  0.0000 (multiplicity 2)
Co  0.0017  0.0000  0.4892 (multiplicity 2)
Co  0.1699  0.5000  0.6634 (multiplicity 2)
Co  0.1922  0.5000  0.1631 (multiplicity 2)
Co  0.3379  0.0000  0.8319 (multiplicity 2)
Co  0.3398  0.0000  0.3293 (multiplicity 2)
O  0.3929  0.5000  0.1946 (multiplicity 2)
F  0.0021  0.3033  0.5015 (multiplicity 4)
F  0.0749  0.5000  0.8720 (multiplicity 2)
F  0.1051  0.0000  0.7969 (multiplicity 2)
F  0.1715  0.1965  0.1628 (multiplicity 4)
F  0.2371  0.0000  0.5330 (multiplicity 2)
F  0.2636  0.5000  0.4564 (multiplicity 2)
F  0.3376  0.3023  0.8264 (multiplicity 4)
F  0.4543  0.0000  0.1334 (multiplicity 2)

Values from the calculation:
**Total DFT energy (no corrections)**: -5.10 eV/atom
**Polymorph energy (0 for the lowest one)**: 8.4 meV/atom

DFT (GGA+U) results for a geometry-optimized Co6O5F7 structure.

a b c (Å): 4.5798 5.4574 7.6672
angles (deg): 87.25 88.30 89.79
Space group P1 (No. 1)
Symmetry-distinct sites (fractional):
Co  0.0000  0.0000  0.0000 (multiplicity 1)
Co  0.0048  0.3438  0.6852 (multiplicity 1)
Co  0.0140  0.6687  0.3236 (multiplicity 1)
Co  0.4609  0.2124  0.3556 (multiplicity 1)
Co  0.5433  0.8684  0.6818 (multiplicity 1)
Co  0.5525  0.5177  0.0055 (multiplicity 1)
O  0.3018  0.1460  0.5843 (multiplicity 1)
O  0.3547  0.4832  0.2297 (multiplicity 1)
O  0.7158  0.5503  0.7764 (multiplicity 1)
O  0.8195  0.0528  0.7878 (multiplicity 1)
O  0.8226  0.7185  0.0926 (multiplicity 1)
F  0.2022  0.9860  0.2220 (multiplicity 1)
F  0.2090  0.6405  0.5751 (multiplicity 1)
F  0.2248  0.3003  0.9246 (multiplicity 1)
F  0.2955  0.8094  0.8994 (multiplicity 1)
F  0.6979  0.8902  0.4339 (multiplicity 1)
F  0.7250  0.1933  0.1119 (multiplicity 1)
F  0.8169  0.3752  0.4434 (multiplicity 1)

Values from the calculation:
**Total DFT energy (no corrections)**: -5.23 eV/atom
**Polymorph energy (0 for the lowest one)**: 44.5 meV/atom

DFT (GGA+U) results for a geometry-optimized Co3O4F2 structure.

a b c (Å): 4.6079 5.4618 7.4642
angles (deg): 84.30 85.47 83.73
Space group P1 (No. 1)
Symmetry-distinct sites (fractional):
Co  0.0000  0.0000  0.0000 (multiplicity 1)
Co  0.0009  0.3219  0.6706 (multiplicity 1)
Co  0.5034  0.1704  0.3339 (multiplicity 1)
Co  0.5486  0.5321  0.0149 (multiplicity 1)
Co  0.5575  0.8656  0.6848 (multiplicity 1)
Co  0.9961  0.6689  0.3284 (multiplicity 1)
O  0.3142  0.1243  0.5710 (multiplicity 1)
O  0.3194  0.4777  0.2288 (multiplicity 1)
O  0.3227  0.8044  0.9039 (multiplicity 1)
O  0.7002  0.8722  0.4389 (multiplicity 1)
O  0.7069  0.5410  0.7755 (multiplicity 1)
O  0.7123  0.2211  0.1029 (multiplicity 1)
O  0.8261  0.7329  0.1016 (multiplicity 1)
O  0.8277  0.0389  0.7832 (multiplicity 1)
F  0.1796  0.6123  0.5587 (multiplicity 1)
F  0.1970  0.9810  0.2215 (multiplicity 1)
F  0.1994  0.2810  0.9102 (multiplicity 1)
F  0.8064  0.3632  0.4341 (multiplicity 1)

Values from the calculation:
**Total DFT energy (no corrections)**: -5.42 eV/atom
**Polymorph energy (0 for the lowest one)**: 0.0 meV/atom
**D(E_F)**: 1.36 states/eV/cell

DFT (GGA+U) results for a geometry-optimized Co3O4F2 structure.

a b c (Å): 6.7693 6.0841 8.8030
angles (deg): 90.00 90.98 90.00
Space group C2/m (No. 12)
Symmetry-distinct sites (fractional):
Co  0.0000  0.0000  0.0000 (multiplicity 2)
Co  0.9998  0.0000  0.3278 (multiplicity 4)
Co  0.0000  0.5000  0.5000 (multiplicity 2)
Co  0.0436  0.5000  0.1661 (multiplicity 4)
O  0.0000  0.3062  0.0000 (multiplicity 4)
O  0.0102  0.3054  0.3305 (multiplicity 8)
O  0.1740  0.0000  0.8408 (multiplicity 4)
F  0.1984  0.0000  0.1503 (multiplicity 4)
F  0.2023  0.0000  0.4940 (multiplicity 4)

Values from the calculation:
**Total DFT energy (no corrections)**: -5.39 eV/atom
**Polymorph energy (0 for the lowest one)**: 26.5 meV/atom
**D(E_F)**: 4.30 states/eV/cell

DFT (GGA+U) results for a geometry-optimized Co2O3F structure.

a b c (Å): 8.4579 6.3491 8.4728
angles (deg): 90.00 91.21 90.00
Space group C2 (No. 5)
Symmetry-distinct sites (fractional):
Co  0.0000  0.0000  0.0000 (multiplicity 2)
Co  0.0000  0.4522  0.5000 (multiplicity 2)
Co  0.1246  0.4649  0.1256 (multiplicity 4)
Co  0.1254  0.9826  0.6246 (multiplicity 4)
Co  0.2497  0.0046  0.2487 (multiplicity 4)
O  0.0000  0.1717  0.5000 (multiplicity 2)
O  0.0000  0.2798  0.0000 (multiplicity 2)
O  0.0265  0.4772  0.7229 (multiplicity 4)
O  0.0277  0.9890  0.2208 (multiplicity 4)
O  0.2224  0.4779  0.5294 (multiplicity 4)
O  0.2223  0.9893  0.0256 (multiplicity 4)
O  0.2486  0.7873  0.7505 (multiplicity 4)
F  0.0000  0.6775  0.0000 (multiplicity 2)
F  0.0000  0.7608  0.5000 (multiplicity 2)
F  0.2447  0.6950  0.2462 (multiplicity 4)

Values from the calculation:
**Total DFT energy (no corrections)**: -5.46 eV/atom
**Polymorph energy (0 for the lowest one)**: 4.5 meV/atom
**D(E_F)**: 10.41 states/eV/cell

DFT (GGA+U) results for a geometry-optimized Co2O2F structure.

a b c (Å): 5.0044 5.0188 5.2937
angles (deg): 81.69 62.91 71.97
Space group P-1 (No. 2)
Symmetry-distinct sites (fractional):
Co  0.1244  0.4914  0.2069 (multiplicity 2)
Co  0.3348  0.9779  0.7861 (multiplicity 2)
O  0.0272  0.7451  0.9342 (multiplicity 2)
O  0.2423  0.2539  0.4803 (multiplicity 2)
F  0.4379  0.7424  0.1181 (multiplicity 2)

Values from the calculation:
**Total DFT energy (no corrections)**: -5.57 eV/atom
**D(E_F)**: 2.97 states/eV/cell

DFT (GGA+U) results for a geometry-optimized Co6O5F7 structure.

a b c (Å): 8.8059 7.1320 6.3254
angles (deg): 90.00 90.00 90.00
Space group Amm2 (No. 38)
Symmetry-distinct sites (fractional):
Co  0.0000  0.0000  0.9995 (multiplicity 2)
Co  0.1666  0.0000  0.5000 (multiplicity 4)
Co  0.3272  0.0000  0.0018 (multiplicity 4)
Co  0.5000  0.0000  0.5283 (multiplicity 2)
O  0.1643  0.0000  0.1908 (multiplicity 4)
O  0.1659  0.0000  0.8080 (multiplicity 4)
O  0.5000  0.0000  0.8261 (multiplicity 2)
F  0.0000  0.1941  0.4990 (multiplicity 4)
F  0.3367  0.1940  0.5062 (multiplicity 8)
F  0.5000  0.0000  0.2049 (multiplicity 2)

Values from the calculation:
**Total DFT energy (no corrections)**: -5.25 eV/atom
**Polymorph energy (0 for the lowest one)**: 21.9 meV/atom
**D(E_F)**: 7.80 states/eV/cell

DFT (GGA+U) results for a geometry-optimized Co2OF3 structure.

a b c (Å): 4.6801 5.5711 13.0396
angles (deg): 78.73 88.76 88.73
Space group P1 (No. 1)
Symmetry-distinct sites (fractional):
Co  0.0000  0.0000  0.0000 (multiplicity 1)
Co  0.0048  0.2140  0.4037 (multiplicity 1)
Co  0.0348  0.8021  0.6011 (multiplicity 1)
Co  0.0486  0.4033  0.8025 (multiplicity 1)
Co  0.4755  0.1080  0.2158 (multiplicity 1)
Co  0.5245  0.6925  0.4009 (multiplicity 1)
Co  0.5314  0.9080  0.8009 (multiplicity 1)
Co  0.5378  0.2952  0.6027 (multiplicity 1)
Co  0.5572  0.5263  0.9925 (multiplicity 1)
Co  0.9924  0.5986  0.1883 (multiplicity 1)
O  0.3060  0.0360  0.3408 (multiplicity 1)
O  0.3507  0.2064  0.7403 (multiplicity 1)
O  0.7164  0.3778  0.4605 (multiplicity 1)
O  0.7176  0.6038  0.8601 (multiplicity 1)
O  0.8170  0.6891  0.0521 (multiplicity 1)
F  0.1874  0.5203  0.3396 (multiplicity 1)
F  0.2072  0.1356  0.5357 (multiplicity 1)
F  0.2129  0.9286  0.1388 (multiplicity 1)
F  0.2375  0.3329  0.9464 (multiplicity 1)
F  0.2417  0.7299  0.7416 (multiplicity 1)
F  0.3369  0.8407  0.9366 (multiplicity 1)
F  0.3386  0.4337  0.1373 (multiplicity 1)
F  0.3422  0.6238  0.5441 (multiplicity 1)
F  0.7024  0.7913  0.2548 (multiplicity 1)
F  0.7148  0.1990  0.0673 (multiplicity 1)
F  0.7241  0.9678  0.6644 (multiplicity 1)
F  0.8154  0.2764  0.2659 (multiplicity 1)
F  0.8240  0.0881  0.8584 (multiplicity 1)
F  0.8315  0.9003  0.4575 (multiplicity 1)
F  0.8501  0.4777  0.6606 (multiplicity 1)

Values from the calculation:
**Total DFT energy (no corrections)**: -5.09 eV/atom
**Polymorph energy (0 for the lowest one)**: 98.6 meV/atom
**D(E_F)**: 6.53 states/eV/cell

DFT (GGA+U) results for a geometry-optimized Co2OF3 structure.

a b c (Å): 15.2784 6.7724 6.4467
angles (deg): 90.00 90.00 90.00
Space group Amm2 (No. 38)
Symmetry-distinct sites (fractional):
Co  0.0000  0.0000  0.0000 (multiplicity 2)
Co  0.1001  0.0000  0.4734 (multiplicity 4)
Co  0.1998  0.0000  0.0113 (multiplicity 4)
Co  0.3000  0.0000  0.5457 (multiplicity 4)
Co  0.4000  0.0000  0.0127 (multiplicity 4)
Co  0.5000  0.0000  0.4794 (multiplicity 2)
O  0.0993  0.0000  0.1797 (multiplicity 4)
O  0.2997  0.0000  0.8427 (multiplicity 4)
O  0.5000  0.0000  0.1827 (multiplicity 2)
F  0.0000  0.1977  0.4823 (multiplicity 4)
F  0.0977  0.0000  0.7930 (multiplicity 4)
F  0.1994  0.2018  0.5117 (multiplicity 8)
F  0.2998  0.0000  0.2287 (multiplicity 4)
F  0.3999  0.2022  0.5131 (multiplicity 8)
F  0.5000  0.0000  0.7970 (multiplicity 2)

Values from the calculation:
**Total DFT energy (no corrections)**: -5.15 eV/atom
**Polymorph energy (0 for the lowest one)**: 35.5 meV/atom
**D(E_F)**: 8.91 states/eV/cell

DFT (GGA+U) results for a geometry-optimized CoO2F2 structure.

a b c (Å): 3.4630 3.4630 4.5363
angles (deg): 90.00 90.00 90.00
Space group P4/mmm (No. 123)
Symmetry-distinct sites (fractional):
Co  0.0000  0.0000  0.0000 (multiplicity 1)
O  0.0000  0.5000  0.5000 (multiplicity 2)
F  0.5000  0.5000  0.0000 (multiplicity 1)
F  0.5000  0.5000  0.5000 (multiplicity 1)

Values from the calculation:
**Total DFT energy (no corrections)**: -3.09 eV/atom
**D(E_F)**: 3.08 states/eV/cell

DFT (GGA+U) results for a geometry-optimized Co2O3F structure.

a b c (Å): 6.0625 6.3128 5.9177
angles (deg): 90.00 90.00 90.00
Space group Cmcm (No. 63)
Symmetry-distinct sites (fractional):
Co  0.0000  0.0000  0.0000 (multiplicity 4)
Co  0.0000  0.4747  0.2500 (multiplicity 4)
O  0.0000  0.1909  0.2500 (multiplicity 4)
O  0.1939  0.5000  0.0000 (multiplicity 8)
F  0.0000  0.2193  0.7500 (multiplicity 4)

Values from the calculation:
**Total DFT energy (no corrections)**: -5.46 eV/atom
**Polymorph energy (0 for the lowest one)**: 6.0 meV/atom
**D(E_F)**: 3.77 states/eV/cell